No. 1
# KCdI2

An optimized crystal structure of KCdI2 (GGA-PBE, Alexandria via LeMat-Bulk).

a b c (Å): 5.922 5.922 5.922
angles (deg): 60.00 60.00 60.00
Element x y z (fractional)
K1 0.000 0.000 0.000
Cd1 0.500 0.500 0.500
I1 0.250 0.250 0.250
I2 0.750 0.750 0.750

Values from the calculation:
The theoretical density is 4.58 g/cm³. The magnetization comes out at 0.0 μB per formula unit. As for the energy relative to the elements, uncorrected: -0.659 eV/atom. The total energy is -1.937 eV/atom. The value obtained for the calculated volume is 146.9 Å³ per cell. Its space group is No. 225.

---

No. 2
# LiBi2P

An optimized crystal structure of LiBi2P (GGA-PBE, Alexandria via LeMat-Bulk).

a b c (Å): 7.360 7.360 7.360
angles (deg): 126.12 126.12 79.69
Element x y z (fractional)
Li1 0.000 0.000 0.000
Li2 0.750 0.250 0.500
Bi1 0.143 0.625 0.018
Bi2 0.375 0.393 0.518
Bi3 0.607 0.125 0.982
Bi4 0.875 0.857 0.482
P1 0.250 0.750 0.500
P2 0.500 0.500 0.000

Values from the calculation:
The theoretical density is 6.02 g/cm³. For the formation energy, the calculation gives 11 kJ per mole of atoms. The magnetization comes out at 0.0 μB per formula unit. The total energy is -3.659 eV/atom. The value obtained for the calculated volume is 251.3 Å³ per cell. Its space group is No. 122.